Entry 1:
A relaxed structure of Hf5MgPt6. Source: Alexandria via LeMat-Bulk, functional GGA-PBE.

a b c (Å): 4.6539 8.2028 8.2028
angles (deg): 120.75 106.44 106.44
Fractional coordinates of all 12 atoms:
Mg 0.0000 0.0000 0.0000
Hf 0.5000 0.1567 0.8433
Hf 0.0000 0.3344 0.6656
Hf 0.5000 0.5000 0.5000
Hf 0.0000 0.6656 0.3344
Hf 0.5000 0.8433 0.1567
Pt 0.2623 0.0810 0.4436
Pt 0.7377 0.5564 0.9190
Pt 0.7674 0.2673 0.2673
Pt 0.2326 0.7327 0.7327
Pt 0.2623 0.4436 0.0810
Pt 0.7377 0.9190 0.5564


Entry 2:
A relaxed structure of HfMg2Pt4. Source: Alexandria via LeMat-Bulk, functional GGA-PBE.

a b c (Å): 4.0914 4.0914 7.9182
angles (deg): 104.97 104.97 90.00
Fractional coordinates of all 7 atoms:
Hf 0.0000 0.0000 0.0000
Mg 0.7457 0.7457 0.4914
Mg 0.2543 0.2543 0.5086
Pt 0.3769 0.8769 0.7538
Pt 0.8769 0.3769 0.7538
Pt 0.6231 0.1231 0.2462
Pt 0.1231 0.6231 0.2462


ΔH_f (0 K), respectively: -1.01 -0.83 eV/atom.